# 1
A relaxed structure of Rb3IrC, computed with PBE-GGA.

Lattice parameters (Å, degrees): 6.295 6.295 6.295 90.00 90.00 90.00
Space group Pm-3m (No. 221)
Symmetry-distinct sites (fractional):
1 Rb 0.000 0.000 0.500 [3 per cell]
2 Ir 0.000 0.000 0.000 [1 per cell]
3 C 0.500 0.500 0.500 [1 per cell]

## Properties
Formation energy from the elements   1698 meV/atom
Total magnetic moment   4.0 μB/cell



# 2
A relaxed structure of RbTeIrC2, computed with PBE-GGA.

Lattice parameters (Å, degrees): 4.604 4.604 4.979 90.00 90.00 90.00
Space group P4/mmm (No. 123)
Symmetry-distinct sites (fractional):
1 Rb 0.000 0.000 0.000 [1 per cell]
2 Te 0.500 0.500 0.500 [1 per cell]
3 Ir 0.500 0.500 0.000 [1 per cell]
4 C 0.000 0.500 0.500 [2 per cell]

## Properties
Total magnetic moment   1.4 μB/cell
Total energy   -19.79 eV/cell



# 3
A relaxed structure of Re3IrC, computed with PBE-GGA.

Lattice parameters (Å, degrees): 4.704 4.704 4.704 90.00 90.00 90.00
Space group Pm-3m (No. 221)
Symmetry-distinct sites (fractional):
1 Re 0.000 0.000 0.500 [3 per cell]
2 Ir 0.000 0.000 0.000 [1 per cell]
3 C 0.500 0.500 0.500 [1 per cell]

## Properties
Formation energy from the elements   3551 meV/atom
Total magnetic moment   0.0 μB/cell
Excess energy over the best structure of this formula in the dataset   317.8 kJ/mol of atoms